{
  "formula": "Ac2GaRh3",
  "functional": "PBE",
  "state": "optimized geometry",
  "formation_energy_ev_per_fu": -4.2,
  "magnetic_moment_mub_per_fu": 0.00,
  "mass_density_g_cm3": 11.13,
  "e_tot_ev_per_atom": -6.245,
  "relative_energy_mev_per_atom": 0,
  "lattice_angstrom": [[0.3200, 4.0759, 3.4451], [0.3938, -1.5889, 5.0896], [4.9068, 0.6506, 2.0209]],
  "species": ["Ac", "Ac", "Ga", "Rh", "Rh", "Rh"],
  "fractional_positions": [[0.3663, 0.3663, 0.3663], [0.6337, 0.6337, 0.6337], [0.0000, 0.0000, 0.0000], [0.0000, 0.0000, 0.5000], [0.5000, 0.0000, 0.0000], [0.0000, 0.5000, 0.0000]]
}